No. 1
## Dy2Pd2Au (PBE-GGA)

Data for a relaxed Dy2Pd2Au crystal.

Lattice parameters (Å, degrees): 3.700 7.592 7.592 90.00 90.00 90.00
Fractional positions:
Dy  0.500  0.174  0.674
Dy  0.500  0.674  0.826
Dy  0.500  0.826  0.326
Dy  0.500  0.326  0.174
Pd  0.000  0.371  0.871
Pd  0.000  0.871  0.629
Pd  0.000  0.629  0.129
Pd  0.000  0.129  0.371
Au  0.000  0.000  0.000
Au  0.000  0.500  0.500

Calculated values
- Total energy: -5.470 eV per atom
- Symmetry: No. 127
- M_tot: 0.000 μB/atom
- Energy of formation: -0.897 eV per atom

No. 2
## DyPd7Au12 (PBE-GGA)

Data for a relaxed DyPd7Au12 crystal.

Lattice parameters (Å, degrees): 8.038 8.038 8.038 111.00 111.00 111.00
Fractional positions:
Dy  0.000  0.000  0.000
Pd  0.851  0.562  0.891
Pd  0.438  0.109  0.149
Pd  0.109  0.149  0.438
Pd  0.500  0.500  0.500
Pd  0.891  0.851  0.562
Pd  0.562  0.891  0.851
Pd  0.149  0.438  0.109
Au  0.913  0.226  0.676
Au  0.774  0.324  0.087
Au  0.486  0.169  0.527
Au  0.831  0.473  0.514
Au  0.324  0.087  0.774
Au  0.473  0.514  0.831
Au  0.527  0.486  0.169
Au  0.676  0.913  0.226
Au  0.169  0.527  0.486
Au  0.514  0.831  0.473
Au  0.226  0.676  0.913
Au  0.087  0.774  0.324

Calculated values
- Total energy: -4.089 eV per atom
- Symmetry: No. 148
- M_tot: 0.000 μB/atom
- Energy of formation: -0.075 eV per atom

No. 3
## DyPd9Au2 (PBE-GGA)

Data for a relaxed DyPd9Au2 crystal.

Lattice parameters (Å, degrees): 4.050 4.050 12.091 90.00 90.00 90.00
Fractional positions:
Dy  0.000  0.000  0.000
Pd  0.500  0.500  0.000
Pd  0.500  0.500  0.336
Pd  0.500  0.500  0.664
Pd  0.500  0.000  0.172
Pd  0.500  0.000  0.500
Pd  0.500  0.000  0.828
Pd  0.000  0.500  0.172
Pd  0.000  0.500  0.500
Pd  0.000  0.500  0.828
Au  0.000  0.000  0.338
Au  0.000  0.000  0.662

Calculated values
- Total energy: -5.144 eV per atom
- Symmetry: No. 123
- M_tot: 0.000 μB/atom
- Energy of formation: -0.320 eV per atom

No. 4
## Dy3Pd2Au3 (PBE-GGA)

Data for a relaxed Dy3Pd2Au3 crystal.

Lattice parameters (Å, degrees): 3.642 7.390 7.390 120.00 90.00 90.00
Fractional positions:
Dy  0.500  0.393  0.393
Dy  0.500  0.607  0.000
Dy  0.500  0.000  0.607
Pd  0.000  0.333  0.667
Pd  0.000  0.667  0.333
Au  0.000  0.764  0.764
Au  0.000  0.236  0.000
Au  0.000  0.000  0.236

Calculated values
- Total energy: -5.134 eV per atom
- Symmetry: No. 189
- M_tot: 0.000 μB/atom
- Energy of formation: -0.881 eV per atom

No. 5
## Dy2PdAu3 (PBE-GGA)

Data for a relaxed Dy2PdAu3 crystal.

Lattice parameters (Å, degrees): 7.347 9.310 7.232 130.06 120.53 90.00
Fractional positions:
Dy  0.506  0.314  0.627
Dy  0.879  0.186  0.373
Dy  0.121  0.814  0.627
Dy  0.494  0.686  0.373
Pd  0.000  0.500  0.000
Pd  0.000  0.000  0.000
Au  0.500  0.250  0.000
Au  0.500  0.750  0.000
Au  0.829  0.079  0.658
Au  0.171  0.421  0.342
Au  0.171  0.921  0.342
Au  0.829  0.579  0.658

Calculated values
- Total energy: -4.630 eV per atom
- Symmetry: No. 72
- M_tot: 0.000 μB/atom
- Energy of formation: -0.592 eV per atom

No. 6
## DyPd8Au2 (PBE-GGA)

Data for a relaxed DyPd8Au2 crystal.

Lattice parameters (Å, degrees): 4.089 6.404 7.538 104.94 105.73 90.00
Fractional positions:
Dy  0.500  0.000  0.000
Pd  0.590  0.460  0.181
Pd  0.317  0.090  0.635
Pd  0.137  0.185  0.274
Pd  0.046  0.724  0.092
Pd  0.863  0.815  0.726
Pd  0.683  0.910  0.365
Pd  0.410  0.540  0.819
Pd  0.954  0.276  0.908
Au  0.227  0.640  0.454
Au  0.773  0.360  0.546

Calculated values
- Total energy: -5.146 eV per atom
- Symmetry: No. 12
- M_tot: 0.000 μB/atom
- Energy of formation: -0.355 eV per atom

- Which of these has the lowest total energy?
  Dy2Pd2Au

- Which formula does entry 3 have?
  DyPd9Au2